Density functional theory data (PBE) for crystalline RbCu3Rh at its relaxed geometry.

Results
Excess energy over the best structure of this formula in the dataset: 145.6 kJ per mole of atoms
ΔH_f (0 K): 10.9 eV per formula unit
Magnetic moment: 0.00 μB/cell

Unit cell a=4.8521 b=4.8521 c=4.8521 alpha=90.00 beta=90.00 gamma=90.00
Fractional coordinates of all 5 atoms:
Rb: 0.0000 0.0000 0.0000
Cu: 0.0000 0.0000 0.5000
Cu: 0.0000 0.5000 0.0000
Cu: 0.5000 0.0000 0.0000
Rh: 0.5000 0.5000 0.5000

---

Density functional theory data (PBE) for crystalline Ag2Mo at its relaxed geometry.

Results
Excess energy over the best structure of this formula in the dataset: 29.0 kJ per mole of atoms
ΔH_f (0 K): 2.1 eV per formula unit
Magnetic moment: 2.12 μB/cell

Unit cell a=8.1662 b=8.1662 c=2.6845 alpha=90.00 beta=90.00 gamma=120.00
Fractional coordinates of all 9 atoms:
Ag: 0.0000 0.3108 0.0000
Ag: 0.0000 0.6416 0.5000
Ag: 0.3108 0.0000 0.0000
Ag: 0.3584 0.3584 0.5000
Ag: 0.6416 0.0000 0.5000
Ag: 0.6892 0.6892 0.0000
Mo: 0.0000 0.0000 0.5000
Mo: 0.3333 0.6667 0.0000
Mo: 0.6667 0.3333 0.0000